The following is a GGA-PBE calculation of a geometry-optimized La3PrGa structure, from Alexandria via LeMat-Bulk.

Calculated values
Fermi-level density of states ... 29.016 states/eV per cell
Mass density ... 5.879 g/cm3
Crystal system ... orthorhombic
Total DFT energy (no corrections) ... -4.175 eV per atom

a b c (Å): 8.573 15.032 5.500
angles (deg): 90.00 90.00 90.00
Space group Cmmm (No. 65)
Unique sites:
La 0.000 0.167 0.000 [4 per cell]
La 0.178 0.500 0.500 [4 per cell]
La 0.250 0.250 0.500 [4 per cell]
Pr 0.000 0.096 0.500 [4 per cell]
Ga 0.000 0.389 0.000 [4 per cell]